# GGA-PBE LaPaBi2O8, optimized geometry
# density	7315	kg/m³
# ΔE_f (raw)	-2.138	eV per atom
# E_tot	-175.008	eV per cell
data_LaPaBi2O8
_chemical_formula_sum 'La2 Pa2 Bi4 O16'
_cell_length_a 7.4843
_cell_length_b 7.4843
_cell_length_c 7.4234
_cell_angle_alpha 90.00
_cell_angle_beta 90.00
_cell_angle_gamma 90.00
_symmetry_space_group_name_H-M 'I -4 m 2'
_symmetry_Int_Tables_number 119
_symmetry_space_group_name_Hall 'I -4 -2'
loop_
_atom_site_label
_atom_site_fract_x
_atom_site_fract_y
_atom_site_fract_z
La1 0.0000 0.0000 0.0000
Pa1 0.0000 0.5000 0.2500
Bi1 0.0000 0.0000 0.5000
Bi2 0.0000 0.5000 0.7500
O1 0.0000 0.2113 0.2882
O2 0.0000 0.3183 0.9558